No. 1
Computed, not measured: a relaxed CaSi3Tc crystal at the PBE-GGA level of DFT.

Results
* total magnetization: 0.003 μB per atom
* formation energy without anion corrections: 2.224 eV per atom
* N(E_F): 12.640 states/eV/cell
* E: -0.2575 Ry per atom
* distance to the lowest polymorph of the same formula: 2134 meV per atom

The structure in CIF format:
```
data_CaSi3Tc
_chemical_formula_sum 'Ca1 Si3 Tc1'
_cell_length_a 4.8826
_cell_length_b 4.8826
_cell_length_c 4.8826
_cell_angle_alpha 90.00
_cell_angle_beta 90.00
_cell_angle_gamma 90.00
_symmetry_space_group_name_H-M 'P m -3 m'
_symmetry_Int_Tables_number 221
_symmetry_space_group_name_Hall '-P 4 2 3'
loop_
_atom_site_label
_atom_site_fract_x
_atom_site_fract_y
_atom_site_fract_z
Ca1 0.0000 0.0000 0.0000
Si1 0.0000 0.0000 0.5000
Tc1 0.5000 0.5000 0.5000
```

No. 2
Computed, not measured: a relaxed Ac3ZrMn2N6 crystal at the PBE-GGA level of DFT.

Results
* total magnetization: 0.320 μB per atom
* formation energy without anion corrections: -0.952 eV per atom
* N(E_F): 4.293 states/eV/cell
* E: -0.6161 Ry per atom

The structure in CIF format:
```
data_Ac3ZrMn2N6
_chemical_formula_sum 'Ac3 Zr1 Mn2 N6'
_cell_length_a 5.8792
_cell_length_b 5.8792
_cell_length_c 6.8463
_cell_angle_alpha 90.00
_cell_angle_beta 90.00
_cell_angle_gamma 120.00
_symmetry_space_group_name_H-M 'P -3 m 1'
_symmetry_Int_Tables_number 164
_symmetry_space_group_name_Hall '-P 3 2"'
loop_
_atom_site_label
_atom_site_fract_x
_atom_site_fract_y
_atom_site_fract_z
Ac1 0.0000 0.0000 0.0000
Ac2 0.3333 0.6667 0.6654
Zr1 0.0000 0.0000 0.5000
Mn1 0.3333 0.6667 0.2120
N1 0.1712 0.3423 0.3023
```

No. 3
Computed, not measured: a relaxed Ac3Pr2PuN6 crystal at the PBE-GGA level of DFT.

Results
* total magnetization: 0.334 μB per atom
* formation energy without anion corrections: -1.137 eV per atom
* N(E_F): 15.022 states/eV/cell
* E: -0.6113 Ry per atom

The structure in CIF format:
```
data_Ac3Pr2PuN6
_chemical_formula_sum 'Ac6 Pr4 Pu2 N12'
_cell_length_a 6.4735
_cell_length_b 11.1640
_cell_length_c 6.5268
_cell_angle_alpha 90.00
_cell_angle_beta 109.22
_cell_angle_gamma 90.00
_symmetry_space_group_name_H-M 'C 1 2/m 1'
_symmetry_Int_Tables_number 12
loop_
_symmetry_equiv_pos_as_xyz
'x,y,z'
'-x,-y,-z'
'-x,y,-z'
'x,-y,z'
'x+1/2,y+1/2,z'
'-x+1/2,-y+1/2,-z'
'-x+1/2,y+1/2,-z'
'x+1/2,-y+1/2,z'
loop_
_atom_site_label
_atom_site_fract_x
_atom_site_fract_y
_atom_site_fract_z
Ac1 0.0000 0.0000 0.0000
Ac2 0.0000 0.3339 0.0000
Pr1 0.0000 0.1661 0.5000
Pu1 0.0000 0.5000 0.5000
N1 0.2224 0.3497 0.7159
N2 0.2351 0.5000 0.2650
```

No. 4
Computed, not measured: a relaxed ZrCo5Ni crystal at the PBE-GGA level of DFT.

Results
* total magnetization: 1.033 μB per atom
* ΔH_f (0 K): -112 meV/atom
* N(E_F): 37.387 states/eV/cell
* E: -0.5317 Ry per atom

The structure in CIF format:
```
data_ZrCo5Ni
_chemical_formula_sum 'Zr4 Co20 Ni4'
_cell_length_a 7.6741
_cell_length_b 4.7183
_cell_length_c 9.7053
_cell_angle_alpha 90.00
_cell_angle_beta 90.00
_cell_angle_gamma 90.00
_symmetry_space_group_name_H-M 'P n m a'
_symmetry_Int_Tables_number 62
loop_
_symmetry_equiv_pos_as_xyz
'x,y,z'
'-x,-y,-z'
'-x+1/2,-y,z+1/2'
'x+1/2,y,-z+1/2'
'x+1/2,-y+1/2,-z+1/2'
'-x+1/2,y+1/2,z+1/2'
'-x,y+1/2,-z'
'x,-y+1/2,z'
loop_
_atom_site_label
_atom_site_fract_x
_atom_site_fract_y
_atom_site_fract_z
Zr1 0.2411 0.2500 0.0618
Co1 0.0586 0.7500 0.0911
Co2 0.0681 0.0102 0.3109
Co3 0.1037 0.2500 0.5229
Co4 0.1845 0.2500 0.7585
Ni1 0.1359 0.7500 0.8529
```

No. 5
Computed, not measured: a relaxed TaPdRh2 crystal at the PBE-GGA level of DFT.

Results
* total magnetization: 0.000 μB per atom
* ΔH_f (0 K): -10 meV/atom
* N(E_F): 11.810 states/eV/cell
* E: -0.5841 Ry per atom
* distance to the lowest polymorph of the same formula: 531 meV per atom

The structure in CIF format:
```
data_TaPdRh2
_chemical_formula_sum 'Ta4 Pd4 Rh8'
_cell_length_a 7.0824
_cell_length_b 7.0824
_cell_length_c 5.4152
_cell_angle_alpha 90.00
_cell_angle_beta 90.00
_cell_angle_gamma 90.00
_symmetry_space_group_name_H-M 'I -4 2 d'
_symmetry_Int_Tables_number 122
_symmetry_space_group_name_Hall 'I -4 2bw'
loop_
_atom_site_label
_atom_site_fract_x
_atom_site_fract_y
_atom_site_fract_z
Ta1 0.0000 0.0000 0.0000
Pd1 0.0000 0.0000 0.5000
Rh1 0.2215 0.2500 0.1250
```

No. 6
Computed, not measured: a relaxed ErTi2In crystal at the PBE-GGA level of DFT.

Results
* total magnetization: 0.003 μB per atom
* ΔH_f (0 K): -32 meV/atom
* N(E_F): 4.733 states/eV/cell
* E: -0.4266 Ry per atom
* distance to the lowest polymorph of the same formula: 0 meV per atom

The structure in CIF format:
```
data_ErTi2In
_chemical_formula_sum 'Er1 Ti2 In1'
_cell_length_a 4.3964
_cell_length_b 4.3964
_cell_length_c 4.3282
_cell_angle_alpha 90.00
_cell_angle_beta 90.00
_cell_angle_gamma 90.00
_symmetry_space_group_name_H-M 'P 4/m m m'
_symmetry_Int_Tables_number 123
_symmetry_space_group_name_Hall '-P 4 2'
loop_
_atom_site_label
_atom_site_fract_x
_atom_site_fract_y
_atom_site_fract_z
Er1 0.0000 0.0000 0.0000
Ti1 0.0000 0.5000 0.5000
In1 0.5000 0.5000 0.0000
```

No. 7
Computed, not measured: a relaxed TaVFe3 crystal at the PBE-GGA level of DFT.

Results
* total magnetization: 0.426 μB per atom
* ΔH_f (0 K): 916 meV/atom
* N(E_F): 5.554 states/eV/cell
* E: -0.6141 Ry per atom
* distance to the lowest polymorph of the same formula: 0 meV per atom

The structure in CIF format:
```
data_TaVFe3
_chemical_formula_sum 'Ta1 V1 Fe3'
_cell_length_a 4.1480
_cell_length_b 4.1480
_cell_length_c 4.1480
_cell_angle_alpha 90.00
_cell_angle_beta 90.00
_cell_angle_gamma 90.00
_symmetry_space_group_name_H-M 'P m -3 m'
_symmetry_Int_Tables_number 221
_symmetry_space_group_name_Hall '-P 4 2 3'
loop_
_atom_site_label
_atom_site_fract_x
_atom_site_fract_y
_atom_site_fract_z
Ta1 0.0000 0.0000 0.0000
V1 0.5000 0.5000 0.5000
Fe1 0.0000 0.5000 0.5000
```

No. 8
Computed, not measured: a relaxed HfMo2Br crystal at the PBE-GGA level of DFT.

Results
* total magnetization: 0.000 μB per atom
* formation energy without anion corrections: 0.968 eV per atom
* N(E_F): 21.966 states/eV/cell
* E: -0.5405 Ry per atom

The structure in CIF format:
```
data_HfMo2Br
_chemical_formula_sum 'Hf4 Mo8 Br4'
_cell_length_a 7.6810
_cell_length_b 7.6810
_cell_length_c 5.2124
_cell_angle_alpha 90.00
_cell_angle_beta 90.00
_cell_angle_gamma 90.00
_symmetry_space_group_name_H-M 'I -4 2 d'
_symmetry_Int_Tables_number 122
_symmetry_space_group_name_Hall 'I -4 2bw'
loop_
_atom_site_label
_atom_site_fract_x
_atom_site_fract_y
_atom_site_fract_z
Hf1 0.0000 0.0000 0.0000
Mo1 0.1844 0.2500 0.6250
Br1 0.0000 0.0000 0.5000
```

What did the eighth record say?
Computed, not measured: a relaxed HfMo2Br crystal at the PBE-GGA level of DFT.

Results
* total magnetization: 0.000 μB per atom
* formation energy without anion corrections: 0.968 eV per atom
* N(E_F): 21.966 states/eV/cell
* E: -0.5405 Ry per atom

The structure in CIF format:
```
data_HfMo2Br
_chemical_formula_sum 'Hf4 Mo8 Br4'
_cell_length_a 7.6810
_cell_length_b 7.6810
_cell_length_c 5.2124
_cell_angle_alpha 90.00
_cell_angle_beta 90.00
_cell_angle_gamma 90.00
_symmetry_space_group_name_H-M 'I -4 2 d'
_symmetry_Int_Tables_number 122
_symmetry_space_group_name_Hall 'I -4 2bw'
loop_
_atom_site_label
_atom_site_fract_x
_atom_site_fract_y
_atom_site_fract_z
Hf1 0.0000 0.0000 0.0000
Mo1 0.1844 0.2500 0.6250
Br1 0.0000 0.0000 0.5000
```

Which of these has the highest N(E_F)? ZrCo5Ni